! PmYCl6 | Alexandria | PBE-GGA | relaxed; values from VASP
&SYSTEM
  ibrav = 0, nat = 16, ntyp = 3
/
ATOMIC_SPECIES
Pm 145.00 Pm.upf
Y 88.91 Y.upf
Cl 35.45 Cl.upf
CELL_PARAMETERS angstrom
6.7630 0.0000 0.0000
-3.3815 5.8569 0.0000
0.0000 0.0000 12.4920
ATOMIC_POSITIONS crystal
Pm 0.3333 0.6667 0.2500
Pm 0.6667 0.3333 0.7500
Y 0.0000 0.0000 0.5000
Y 0.0000 0.0000 0.0000
Cl 0.3158 0.3287 0.3775
Cl 0.6842 0.6713 0.6225
Cl 0.0129 0.6842 0.3775
Cl 0.3158 0.9871 0.1225
Cl 0.9871 0.3158 0.6225
Cl 0.6842 0.0129 0.8775
Cl 0.6713 0.9871 0.3775
Cl 0.0129 0.3287 0.1225
Cl 0.3287 0.0129 0.6225
Cl 0.9871 0.6713 0.8775
Cl 0.6713 0.6842 0.1225
Cl 0.3287 0.3158 0.8775
! Space group = P-31c (163)
! Formation energy without anion corrections = -2.24 eV/atom

=====

! PmYCl6 | Alexandria | PBE-GGA | relaxed; values from VASP
&SYSTEM
  ibrav = 0, nat = 8, ntyp = 3
/
ATOMIC_SPECIES
Pm 145.00 Pm.upf
Y 88.91 Y.upf
Cl 35.45 Cl.upf
CELL_PARAMETERS angstrom
6.8262 0.0106 0.0093
3.4065 5.9148 0.0142
3.4030 1.9672 6.2233
ATOMIC_POSITIONS crystal
Pm 0.0000 0.0000 0.0000
Y 0.5000 0.5000 0.5000
Cl 0.1080 0.4002 0.7465
Cl 0.7449 0.1080 0.7469
Cl 0.5999 0.2550 0.2533
Cl 0.2551 0.8920 0.2531
Cl 0.8920 0.5998 0.2535
Cl 0.4001 0.7450 0.7467
! Space group = R-3 (148)
! Formation energy without anion corrections = -2.25 eV/atom

=====

! PmY3Cl | Alexandria | PBE-GGA | relaxed; values from VASP
&SYSTEM
  ibrav = 0, nat = 5, ntyp = 3
/
ATOMIC_SPECIES
Y 88.91 Y.upf
Cl 35.45 Cl.upf
Pm 145.00 Pm.upf
CELL_PARAMETERS angstrom
5.3252 0.0000 0.0000
0.0000 5.3252 0.0000
0.0000 0.0000 5.3252
ATOMIC_POSITIONS crystal
Y 0.0000 0.5000 0.0000
Y 0.0000 0.0000 0.5000
Y 0.5000 0.0000 0.0000
Cl 0.0000 0.0000 0.0000
Pm 0.5000 0.5000 0.5000
! Space group = Pm-3m (221)
! Formation energy without anion corrections = -0.46 eV/atom

=====

! PmY2Cl | Alexandria | PBE-GGA | relaxed; values from VASP
&SYSTEM
  ibrav = 0, nat = 4, ntyp = 3
/
ATOMIC_SPECIES
Y 88.91 Y.upf
Cl 35.45 Cl.upf
Pm 145.00 Pm.upf
CELL_PARAMETERS angstrom
3.4696 0.0000 0.0000
1.7348 3.0048 0.0000
1.7348 1.0016 11.1737
ATOMIC_POSITIONS crystal
Y 0.1012 0.1012 0.6963
Y 0.8988 0.8988 0.3037
Cl 0.5000 0.5000 0.5000
Pm 0.0000 0.0000 0.0000
! Space group = R-3m (166)
! Formation energy without anion corrections = -0.39 eV/atom

=====

! Pm7ZnCl12 | Alexandria | PBE-GGA | relaxed; values from VASP
&SYSTEM
  ibrav = 0, nat = 20, ntyp = 3
/
ATOMIC_SPECIES
Pm 145.00 Pm.upf
Zn 65.41 Zn.upf
Cl 35.45 Cl.upf
CELL_PARAMETERS angstrom
-3.1658 -0.3101 -8.5402
-2.3354 -7.7218 4.2396
-3.9621 6.9852 4.3085
ATOMIC_POSITIONS crystal
Pm 0.9578 0.6583 0.8725
Pm 0.3417 0.1275 0.0422
Pm 0.1275 0.0422 0.3417
Pm 0.5000 0.5000 0.5000
Pm 0.8725 0.9578 0.6583
Pm 0.6583 0.8725 0.9578
Pm 0.0422 0.3417 0.1275
Zn 0.0000 0.0000 0.0000
Cl 0.9203 0.3054 0.7836
Cl 0.6946 0.2164 0.0797
Cl 0.4795 0.1651 0.3908
Cl 0.8349 0.6092 0.5205
Cl 0.2164 0.0797 0.6946
Cl 0.6092 0.5205 0.8349
Cl 0.3908 0.4795 0.1651
Cl 0.7836 0.9203 0.3054
Cl 0.1651 0.3908 0.4795
Cl 0.5205 0.8349 0.6092
Cl 0.3054 0.7836 0.9203
Cl 0.0797 0.6946 0.2164
! Space group = R-3 (148)
! Formation energy without anion corrections = -1.84 eV/atom

=====

! PmZnCl | Alexandria | PBE-GGA | relaxed; values from VASP
&SYSTEM
  ibrav = 0, nat = 6, ntyp = 3
/
ATOMIC_SPECIES
Pm 145.00 Pm.upf
Cl 35.45 Cl.upf
Zn 65.41 Zn.upf
CELL_PARAMETERS angstrom
-3.6677 0.2876 -1.8980
-1.2148 -2.9687 -2.6169
-6.3724 -6.3108 6.8431
ATOMIC_POSITIONS crystal
Pm 0.5661 0.5661 0.3016
Pm 0.4339 0.4339 0.6984
Cl 0.2816 0.2816 0.1553
Cl 0.7184 0.7184 0.8447
Zn 0.8396 0.8396 0.4812
Zn 0.1604 0.1604 0.5188
! Space group = R-3m (166)
! Formation energy without anion corrections = -1.17 eV/atom

=====

! PmZnCl | Alexandria | PBE-GGA | relaxed; values from VASP
&SYSTEM
  ibrav = 0, nat = 6, ntyp = 3
/
ATOMIC_SPECIES
Pm 145.00 Pm.upf
Zn 65.41 Zn.upf
Cl 35.45 Cl.upf
CELL_PARAMETERS angstrom
4.1355 -0.0003 -0.0097
2.0658 3.5826 -0.0097
0.3413 0.1972 11.1815
ATOMIC_POSITIONS crystal
Pm 0.9901 0.9901 0.6959
Pm 0.0099 0.0099 0.3041
Zn 0.6658 0.6658 0.5188
Zn 0.3342 0.3342 0.4812
Cl 0.6837 0.6837 0.1597
Cl 0.3163 0.3163 0.8403
! Space group = C2/m (12)
! Formation energy without anion corrections = -1.17 eV/atom

=====

! Pm6ZnCl8 | Alexandria | PBE-GGA | relaxed; values from VASP
&SYSTEM
  ibrav = 0, nat = 15, ntyp = 3
/
ATOMIC_SPECIES
Pm 145.00 Pm.upf
Zn 65.41 Zn.upf
Cl 35.45 Cl.upf
CELL_PARAMETERS angstrom
6.6420 0.0000 2.1819
2.9626 5.9447 2.1819
0.0595 0.0369 11.0192
ATOMIC_POSITIONS crystal
Pm 0.9460 0.6198 0.1620
Pm 0.7278 0.0540 0.8380
Pm 0.3802 0.7278 0.8380
Pm 0.6198 0.2722 0.1620
Pm 0.2722 0.9460 0.1620
Pm 0.0540 0.3802 0.8380
Zn 0.0000 0.0000 0.0000
Cl 0.7776 0.4390 0.6751
Cl 0.8917 0.2224 0.3249
Cl 0.5610 0.8917 0.3249
Cl 0.3333 0.3333 0.0000
Cl 0.6667 0.6667 0.0000
Cl 0.4390 0.1083 0.6751
Cl 0.1083 0.7776 0.6751
Cl 0.2224 0.5610 0.3249
! Space group = R-3 (148)
! Formation energy without anion corrections = -1.62 eV/atom